[1]
Ca2HgW: optimized geometry, GGA-PBEsol.

Values from the calculation:
N(E_F)	5.05	states/eV/cell

```
data_Ca2HgW
_cell_length_a 3.1980
_cell_length_b 3.1980
_cell_length_c 31.8654
_cell_angle_alpha 90.00
_cell_angle_beta 90.00
_cell_angle_gamma 120.00
_symmetry_space_group_name_H-M 'R 3 m'
_symmetry_Int_Tables_number 160
_symmetry_space_group_name_Hall 'R 3 -2"'
loop_
_atom_site_label
_atom_site_fract_x
_atom_site_fract_y
_atom_site_fract_z
_atom_site_occupancy
Ca1 0.0000 0.0000 0.0000 1
Ca2 0.0000 0.0000 0.2262 1
Hg1 0.0000 0.0000 0.4818 1
W1 0.0000 0.0000 0.7429 1
```

[2]
CaHgW: optimized geometry, GGA-PBEsol.

Values from the calculation:
N(E_F)	4.52	states/eV/cell
offset from the most stable computed form	0.006	eV/atom

```
data_CaHgW
_cell_length_a 2.985
_cell_length_b 3.799
_cell_length_c 11.269
_cell_angle_alpha 90.00
_cell_angle_beta 90.00
_cell_angle_gamma 90.00
_symmetry_space_group_name_H-M 'I m m 2'
_symmetry_Int_Tables_number 44
loop_
_symmetry_equiv_pos_as_xyz
'x,y,z'
'-x,-y,z'
'-x,y,z'
'x,-y,z'
'x+1/2,y+1/2,z+1/2'
'-x+1/2,-y+1/2,z+1/2'
'-x+1/2,y+1/2,z+1/2'
'x+1/2,-y+1/2,z+1/2'
loop_
_atom_site_label
_atom_site_fract_x
_atom_site_fract_y
_atom_site_fract_z
_atom_site_occupancy
Ca1 0.000 0.000 0.000 1
Hg1 0.000 0.000 0.687 1
W1 0.000 0.000 0.314 1
```

[3]
Ca2HgW: optimized geometry, GGA-PBEsol.

Values from the calculation:
N(E_F)	5.29	states/eV/cell

```
data_Ca2HgW
_cell_length_a 5.531
_cell_length_b 5.531
_cell_length_c 2.979
_cell_angle_alpha 90.00
_cell_angle_beta 90.00
_cell_angle_gamma 90.00
_symmetry_space_group_name_H-M 'P 4/m m m'
_symmetry_Int_Tables_number 123
_symmetry_space_group_name_Hall '-P 4 2'
loop_
_atom_site_label
_atom_site_fract_x
_atom_site_fract_y
_atom_site_fract_z
_atom_site_occupancy
Ca1 0.000 0.500 0.000 1
Hg1 0.000 0.000 0.500 1
W1 0.500 0.500 0.500 1
```

E_tot / eV/cell: -48.06, -28.52, -16.23
Mass density / g cm⁻³: 8.20, 11.03, 8.46
Formation enthalpy at 0 K / kJ/mol of formula units: 253, 217, 233